# ErTmSi2Ni2, relaxed, DFT PBE
# Raw total energy: -0.4384 Ry per atom
# Theoretical density: 8.163 g/cm3
data_ErTmSi2Ni2
_chemical_formula_sum 'Er1 Tm1 Si2 Ni2'
_symmetry_space_group_name_H-M 'P 4 m m'
_symmetry_Int_Tables_number 99
_symmetry_space_group_name_Hall 'P 4 -2'
_cell_length_a 4.0428
_cell_length_b 4.0428
_cell_length_c 6.3441
_cell_angle_alpha 90.00
_cell_angle_beta 90.00
_cell_angle_gamma 90.00
loop_
_atom_site_label
_atom_site_type_symbol
_atom_site_fract_x
_atom_site_fract_y
_atom_site_fract_z
_atom_site_occupancy
Er1 Er 0.0000 0.0000 0.0000 1
Tm1 Tm 0.5000 0.5000 0.6377 1
Si1 Si 0.0000 0.0000 0.5174 1
Si2 Si 0.5000 0.5000 0.1227 1
Ni1 Ni 0.0000 0.5000 0.3203 1